[1]
The following is a DFT calculation (GGA-PBE) of crystalline PrSm12Al4N3 at its relaxed geometry.

Summary:
- uncorrected energy (eV per atom) = -5.42
- DOS at the Fermi energy (states/eV per cell) = 13.56
- crystal system = cubic

Cell and atoms, written as extended XYZ:
```
20
Lattice="-5.033 5.033 5.033 5.033 -5.033 5.033 5.033 5.033 -5.033" Properties=species:S:1:pos:R:3 pbc="T T T"
Pr 0.000 0.000 0.000
Sm 2.767 0.000 0.000
Sm 7.299 0.000 0.000
Sm 5.033 2.516 0.000
Sm 5.033 0.000 2.516
Sm 0.000 2.767 0.000
Sm 0.000 0.000 2.767
Sm 2.516 5.033 0.000
Sm 2.516 0.000 5.033
Sm 0.000 7.299 0.000
Sm 0.000 0.000 7.299
Sm 0.000 5.033 2.516
Sm 0.000 2.516 5.033
Al 2.516 2.516 -2.516
Al 2.516 -2.516 2.516
Al -2.516 2.516 2.516
Al 2.516 2.516 2.516
N 5.033 0.000 0.000
N 0.000 5.033 0.000
N 0.000 0.000 5.033
```


[2]
The following is a DFT calculation (GGA-PBE) of crystalline Pr2SmAlN at its relaxed geometry.

Summary:
- uncorrected energy (eV per atom) = -6.01
- DOS at the Fermi energy (states/eV per cell) = 2.92
- crystal system = tetragonal

Cell and atoms, written as extended XYZ:
```
5
Lattice="5.048 0.000 0.000 0.000 5.048 0.000 0.000 0.000 4.919" Properties=species:S:1:pos:R:3 pbc="T T T"
Pr 0.000 2.524 0.000
Pr 2.524 0.000 0.000
Sm 0.000 0.000 2.459
Al 2.524 2.524 2.459
N 0.000 0.000 0.000
```


| no. | V (Å³/atom) |
| --- | --- |
| 1 | 25.5 |
| 2 | 25.1 |